Compound: SrGeIr2Br
Source: the Alexandria database
Functional: PBE
Structure: optimized geometry

```
data_SrGeIr2Br
_space_group_name_H-M_alt 'P 1'
_space_group_IT_number 1
_cell_length_a 4.803
_cell_length_b 5.143
_cell_length_c 4.803
_cell_angle_alpha 90.00
_cell_angle_beta 90.00
_cell_angle_gamma 90.00
loop_
_space_group_symop_operation_xyz
'x,y,z'
loop_
_atom_site_label
_atom_site_fract_x
_atom_site_fract_y
_atom_site_fract_z
Br1 0.000 0.000 0.000
Ir1 0.500 0.000 0.000
Ir2 0.000 0.000 0.500
Sr1 0.500 0.500 0.500
Ge1 0.000 0.500 0.000
```



Compound: TlGeIr2Br
Source: the Alexandria database
Functional: PBE
Structure: optimized geometry

```
data_TlGeIr2Br
_space_group_name_H-M_alt 'P 1'
_space_group_IT_number 1
_cell_length_a 4.658
_cell_length_b 5.776
_cell_length_c 4.658
_cell_angle_alpha 90.00
_cell_angle_beta 90.00
_cell_angle_gamma 90.00
loop_
_space_group_symop_operation_xyz
'x,y,z'
loop_
_atom_site_label
_atom_site_fract_x
_atom_site_fract_y
_atom_site_fract_z
Ir1 0.000 0.000 0.500
Br1 0.000 0.000 0.000
Ir2 0.500 0.000 0.000
Ge1 0.500 0.500 0.500
Tl1 0.000 0.500 0.000
```



Compound: KGe3Br
Source: the Alexandria database
Functional: PBE
Structure: optimized geometry

Computed properties:
energy above the lowest structure with this stoichiometry = 0.0 meV per atom

```
data_KGe3Br
_space_group_name_H-M_alt 'P 1'
_space_group_IT_number 1
_cell_length_a 5.373
_cell_length_b 5.373
_cell_length_c 5.373
_cell_angle_alpha 90.00
_cell_angle_beta 90.00
_cell_angle_gamma 90.00
loop_
_space_group_symop_operation_xyz
'x,y,z'
loop_
_atom_site_label
_atom_site_fract_x
_atom_site_fract_y
_atom_site_fract_z
Br1 0.000 0.000 0.000
Ge1 0.500 0.000 0.000
Ge2 0.000 0.500 0.000
K1 0.500 0.500 0.500
Ge3 0.000 0.000 0.500
```



Compound: K3Ge2Br7
Source: the Alexandria database
Functional: PBE
Structure: optimized geometry

```
data_K3Ge2Br7
_space_group_name_H-M_alt 'P 1'
_space_group_IT_number 1
_cell_length_a 5.541
_cell_length_b 5.541
_cell_length_c 14.361
_cell_angle_alpha 101.12
_cell_angle_beta 101.12
_cell_angle_gamma 90.00
loop_
_space_group_symop_operation_xyz
'x,y,z'
loop_
_atom_site_label
_atom_site_fract_x
_atom_site_fract_y
_atom_site_fract_z
Ge1 0.896 0.896 0.793
K1 0.679 0.679 0.358
Br1 0.600 0.100 0.200
Ge2 0.104 0.104 0.207
K2 0.500 0.500 0.000
Br2 0.100 0.600 0.200
Br3 0.798 0.798 0.596
K3 0.321 0.321 0.642
Br4 0.900 0.400 0.800
Br5 0.400 0.900 0.800
Br6 0.202 0.202 0.404
Br7 0.000 0.000 0.000
```



Compound: K2Ge2Br7
Source: the Alexandria database
Functional: PBE
Structure: optimized geometry

Computed properties:
energy above the lowest structure with this stoichiometry = 8.8 meV per atom

```
data_K2Ge2Br7
_space_group_name_H-M_alt 'P 1'
_space_group_IT_number 1
_cell_length_a 8.691
_cell_length_b 9.259
_cell_length_c 8.691
_cell_angle_alpha 83.21
_cell_angle_beta 75.17
_cell_angle_gamma 96.79
loop_
_space_group_symop_operation_xyz
'x,y,z'
loop_
_atom_site_label
_atom_site_fract_x
_atom_site_fract_y
_atom_site_fract_z
K1 0.320 0.500 0.320
Br1 0.446 0.243 0.554
Br2 0.328 0.394 0.955
Br3 0.955 0.606 0.328
Br4 0.000 0.000 0.000
Ge1 0.203 0.229 0.797
K2 0.680 0.500 0.680
Br5 0.672 0.606 0.045
Br6 0.554 0.757 0.446
Br7 0.045 0.394 0.672
Ge2 0.797 0.771 0.203
```



Compound: K4Ge3Br10
Source: the Alexandria database
Functional: PBE
Structure: optimized geometry

```
data_K4Ge3Br10
_space_group_name_H-M_alt 'P 1'
_space_group_IT_number 1
_cell_length_a 5.550
_cell_length_b 5.550
_cell_length_c 19.751
_cell_angle_alpha 98.08
_cell_angle_beta 98.08
_cell_angle_gamma 90.00
loop_
_space_group_symop_operation_xyz
'x,y,z'
loop_
_atom_site_label
_atom_site_fract_x
_atom_site_fract_y
_atom_site_fract_z
Br1 0.500 0.000 0.000
K1 0.698 0.698 0.397
K2 0.566 0.566 0.131
Br2 0.356 0.856 0.712
Br3 0.784 0.784 0.568
Br4 0.071 0.071 0.143
Ge1 0.853 0.853 0.706
K3 0.434 0.434 0.869
Br5 0.644 0.144 0.288
Ge2 0.147 0.147 0.294
Br6 0.929 0.929 0.857
K4 0.302 0.302 0.603
Br7 0.856 0.356 0.712
Br8 0.216 0.216 0.432
Br9 0.144 0.644 0.288
Ge3 0.000 0.000 0.000
Br10 0.000 0.500 0.000
```



Compound: K2GeBr5
Source: the Alexandria database
Functional: PBE
Structure: optimized geometry

```
data_K2GeBr5
_space_group_name_H-M_alt 'P 1'
_space_group_IT_number 1
_cell_length_a 7.881
_cell_length_b 7.881
_cell_length_c 7.343
_cell_angle_alpha 122.46
_cell_angle_beta 122.46
_cell_angle_gamma 90.00
loop_
_space_group_symop_operation_xyz
'x,y,z'
loop_
_atom_site_label
_atom_site_fract_x
_atom_site_fract_y
_atom_site_fract_z
Br1 0.250 0.781 0.031
Br2 0.250 0.250 0.031
Br3 0.781 0.250 0.031
Br4 0.727 0.727 0.454
Br5 0.781 0.781 0.031
K1 0.255 0.755 0.509
K2 0.755 0.255 0.509
Ge1 0.979 0.979 0.957
```



Compound: KGe2Br6
Source: the Alexandria database
Functional: PBE
Structure: optimized geometry

```
data_KGe2Br6
_space_group_name_H-M_alt 'P 1'
_space_group_IT_number 1
_cell_length_a 9.884
_cell_length_b 9.752
_cell_length_c 9.752
_cell_angle_alpha 72.75
_cell_angle_beta 66.42
_cell_angle_gamma 66.42
loop_
_space_group_symop_operation_xyz
'x,y,z'
loop_
_atom_site_label
_atom_site_fract_x
_atom_site_fract_y
_atom_site_fract_z
Br1 0.860 0.913 0.378
Br2 0.140 0.087 0.622
Ge1 0.715 0.362 0.218
Br3 0.450 0.304 0.335
Br4 0.349 0.998 0.228
Br5 0.651 0.002 0.772
Ge2 0.785 0.782 0.638
Br6 0.151 0.772 0.002
Br7 0.050 0.665 0.696
K1 0.750 0.902 0.098
K2 0.250 0.098 0.902
Br8 0.360 0.378 0.913
Br9 0.849 0.228 0.998
Br10 0.640 0.622 0.087
Ge3 0.215 0.218 0.362
Br11 0.550 0.696 0.665
Ge4 0.285 0.638 0.782
Br12 0.950 0.335 0.304
```



Compound: K2Ge3Br8
Source: the Alexandria database
Functional: PBE
Structure: optimized geometry

```
data_K2Ge3Br8
_space_group_name_H-M_alt 'P 1'
_space_group_IT_number 1
_cell_length_a 7.276
_cell_length_b 8.358
_cell_length_c 9.032
_cell_angle_alpha 117.56
_cell_angle_beta 105.78
_cell_angle_gamma 90.00
loop_
_space_group_symop_operation_xyz
'x,y,z'
loop_
_atom_site_label
_atom_site_fract_x
_atom_site_fract_y
_atom_site_fract_z
Br1 0.949 0.607 0.215
Ge1 0.000 0.741 0.000
Ge2 0.000 0.259 0.000
K1 0.331 0.263 0.525
Br2 0.105 0.893 0.786
K2 0.669 0.737 0.475
Br3 0.895 0.107 0.214
Br4 0.608 0.131 0.792
Br5 0.051 0.393 0.785
Br6 0.392 0.340 0.208
Br7 0.392 0.869 0.208
Br8 0.608 0.660 0.792
Ge3 0.500 0.000 0.000
```



Compound: KGe4Br2
Source: the Alexandria database
Functional: PBE
Structure: optimized geometry

```
data_KGe4Br2
_space_group_name_H-M_alt 'P 1'
_space_group_IT_number 1
_cell_length_a 5.768
_cell_length_b 5.768
_cell_length_c 9.518
_cell_angle_alpha 72.36
_cell_angle_beta 72.36
_cell_angle_gamma 90.00
loop_
_space_group_symop_operation_xyz
'x,y,z'
loop_
_atom_site_label
_atom_site_fract_x
_atom_site_fract_y
_atom_site_fract_z
Ge1 0.000 0.500 0.000
K1 0.000 0.000 0.000
Ge2 0.500 0.000 0.000
Ge3 0.167 0.167 0.666
Ge4 0.833 0.833 0.334
Br1 0.303 0.303 0.394
Br2 0.697 0.697 0.606
```



Compound: KGe4Br8
Source: the Alexandria database
Functional: PBE
Structure: optimized geometry

Computed properties:
energy above the lowest structure with this stoichiometry = 0.0 meV per atom

```
data_KGe4Br8
_space_group_name_H-M_alt 'P 1'
_space_group_IT_number 1
_cell_length_a 8.487
_cell_length_b 8.487
_cell_length_c 8.895
_cell_angle_alpha 103.05
_cell_angle_beta 104.67
_cell_angle_gamma 119.86
loop_
_space_group_symop_operation_xyz
'x,y,z'
loop_
_atom_site_label
_atom_site_fract_x
_atom_site_fract_y
_atom_site_fract_z
Ge1 0.255 0.757 0.012
Br1 0.825 0.495 0.805
Ge2 0.243 0.243 0.000
Br2 0.180 0.016 0.196
Br3 0.690 0.020 0.195
Br4 0.820 0.984 0.804
Ge3 0.757 0.757 0.000
Ge4 0.745 0.243 0.988
Br5 0.683 0.507 0.190
Br6 0.317 0.493 0.810
K1 0.000 0.500 0.500
Br7 0.310 0.980 0.805
Br8 0.175 0.505 0.195
```



Compound: K2GeBr3
Source: the Alexandria database
Functional: PBE
Structure: optimized geometry

```
data_K2GeBr3
_space_group_name_H-M_alt 'P 1'
_space_group_IT_number 1
_cell_length_a 4.107
_cell_length_b 5.546
_cell_length_c 9.497
_cell_angle_alpha 106.98
_cell_angle_beta 102.49
_cell_angle_gamma 90.00
loop_
_space_group_symop_operation_xyz
'x,y,z'
loop_
_atom_site_label
_atom_site_fract_x
_atom_site_fract_y
_atom_site_fract_z
Br1 0.163 0.163 0.325
Ge1 0.000 0.000 0.000
K1 0.649 0.649 0.298
Br2 0.000 0.500 0.000
K2 0.351 0.351 0.702
Br3 0.837 0.837 0.675
```



Compound: K2Ge2Br7
Source: the Alexandria database
Functional: PBE
Structure: optimized geometry

Computed properties:
energy above the lowest structure with this stoichiometry = 0.0 meV per atom

```
data_K2Ge2Br7
_space_group_name_H-M_alt 'P 1'
_space_group_IT_number 1
_cell_length_a 6.689
_cell_length_b 8.617
_cell_length_c 8.617
_cell_angle_alpha 96.55
_cell_angle_beta 99.57
_cell_angle_gamma 99.57
loop_
_space_group_symop_operation_xyz
'x,y,z'
loop_
_atom_site_label
_atom_site_fract_x
_atom_site_fract_y
_atom_site_fract_z
Br1 0.203 0.096 0.406
K1 0.000 0.710 0.290
Ge1 0.586 0.781 0.781
Br2 0.203 0.406 0.096
Br3 0.284 0.599 0.599
Br4 0.797 0.594 0.904
K2 0.000 0.290 0.710
Ge2 0.414 0.219 0.219
Br5 0.797 0.904 0.594
Br6 0.500 0.000 0.000
Br7 0.716 0.401 0.401
```



Compound: K2GeBr4
Source: the Alexandria database
Functional: PBE
Structure: optimized geometry

Computed properties:
energy above the lowest structure with this stoichiometry = 18.9 meV per atom

```
data_K2GeBr4
_space_group_name_H-M_alt 'P 1'
_space_group_IT_number 1
_cell_length_a 5.514
_cell_length_b 5.514
_cell_length_c 9.253
_cell_angle_alpha 72.66
_cell_angle_beta 72.66
_cell_angle_gamma 90.00
loop_
_space_group_symop_operation_xyz
'x,y,z'
loop_
_atom_site_label
_atom_site_fract_x
_atom_site_fract_y
_atom_site_fract_z
Br1 0.000 0.500 0.000
Ge1 0.000 0.000 0.000
K1 0.361 0.361 0.278
Br2 0.833 0.833 0.334
Br3 0.167 0.167 0.666
Br4 0.500 0.000 0.000
K2 0.639 0.639 0.722
```



Compound: KGe4Br8
Source: the Alexandria database
Functional: PBE
Structure: optimized geometry

Computed properties:
energy above the lowest structure with this stoichiometry = 26.9 meV per atom

```
data_KGe4Br8
_space_group_name_H-M_alt 'P 1'
_space_group_IT_number 1
_cell_length_a 8.742
_cell_length_b 8.742
_cell_length_c 8.742
_cell_angle_alpha 60.00
_cell_angle_beta 60.00
_cell_angle_gamma 60.00
loop_
_space_group_symop_operation_xyz
'x,y,z'
loop_
_atom_site_label
_atom_site_fract_x
_atom_site_fract_y
_atom_site_fract_z
Ge1 0.371 0.371 0.887
Br1 0.606 0.606 0.181
K1 0.750 0.750 0.750
Br2 0.606 0.181 0.606
Br3 0.139 0.139 0.139
Br4 0.606 0.606 0.606
Ge2 0.371 0.371 0.371
Ge3 0.371 0.887 0.371
Ge4 0.887 0.371 0.371
Br5 0.139 0.139 0.582
Br6 0.582 0.139 0.139
Br7 0.181 0.606 0.606
Br8 0.139 0.582 0.139
```



Compound: K5GeBr8
Source: the Alexandria database
Functional: PBE
Structure: optimized geometry

```
data_K5GeBr8
_space_group_name_H-M_alt 'P 1'
_space_group_IT_number 1
_cell_length_a 9.336
_cell_length_b 9.336
_cell_length_c 9.336
_cell_angle_alpha 116.37
_cell_angle_beta 116.37
_cell_angle_gamma 96.42
loop_
_space_group_symop_operation_xyz
'x,y,z'
loop_
_atom_site_label
_atom_site_fract_x
_atom_site_fract_y
_atom_site_fract_z
Br1 0.660 0.290 0.187
Ge1 0.250 0.750 0.500
K1 0.976 0.173 0.392
Br2 0.710 0.897 0.370
Br3 0.142 0.863 0.713
K2 0.827 0.219 0.803
Br4 0.103 0.474 0.813
K3 0.416 0.024 0.197
Br5 0.571 0.858 0.721
Br6 0.150 0.429 0.287
K4 0.781 0.584 0.608
K5 0.500 0.500 0.000
Br7 0.526 0.340 0.630
Br8 0.137 0.850 0.279
```



Compound: K2Ge2Br5
Source: the Alexandria database
Functional: PBE
Structure: optimized geometry

```
data_K2Ge2Br5
_space_group_name_H-M_alt 'P 1'
_space_group_IT_number 1
_cell_length_a 7.796
_cell_length_b 7.945
_cell_length_c 12.055
_cell_angle_alpha 109.24
_cell_angle_beta 108.87
_cell_angle_gamma 90.00
loop_
_space_group_symop_operation_xyz
'x,y,z'
loop_
_atom_site_label
_atom_site_fract_x
_atom_site_fract_y
_atom_site_fract_z
K1 0.888 0.395 0.766
Ge1 0.268 0.306 0.500
Br1 0.758 0.752 0.050
Br2 0.544 0.574 0.264
Br3 0.780 0.811 0.736
Br4 0.032 0.679 0.500
K2 0.623 0.129 0.234
K3 0.112 0.629 0.234
Br5 0.220 0.074 0.264
Br6 0.242 0.702 0.950
Br7 0.456 0.311 0.736
Br8 0.208 0.202 0.950
Ge2 0.000 0.989 0.000
Br9 0.968 0.179 0.500
Br10 0.792 0.252 0.050
Ge3 0.732 0.806 0.500
K4 0.377 0.895 0.766
Ge4 0.500 0.489 0.000
```



Compound: K2GeBr4
Source: the Alexandria database
Functional: PBE
Structure: optimized geometry

Computed properties:
energy above the lowest structure with this stoichiometry = 20.1 meV per atom

```
data_K2GeBr4
_space_group_name_H-M_alt 'P 1'
_space_group_IT_number 1
_cell_length_a 4.277
_cell_length_b 8.953
_cell_length_c 8.602
_cell_angle_alpha 130.81
_cell_angle_beta 104.39
_cell_angle_gamma 90.00
loop_
_space_group_symop_operation_xyz
'x,y,z'
loop_
_atom_site_label
_atom_site_fract_x
_atom_site_fract_y
_atom_site_fract_z
Br1 0.653 0.242 0.306
K1 0.651 0.621 0.301
Ge1 0.000 0.000 0.000
K2 0.349 0.379 0.699
Br2 0.347 0.758 0.694
Br3 0.054 0.764 0.109
Br4 0.946 0.236 0.891
```



Compound: K3Ge5Br12
Source: the Alexandria database
Functional: PBE
Structure: optimized geometry

```
data_K3Ge5Br12
_space_group_name_H-M_alt 'P 1'
_space_group_IT_number 1
_cell_length_a 15.683
_cell_length_b 15.683
_cell_length_c 15.683
_cell_angle_alpha 109.47
_cell_angle_beta 109.47
_cell_angle_gamma 109.47
loop_
_space_group_symop_operation_xyz
'x,y,z'
loop_
_atom_site_label
_atom_site_fract_x
_atom_site_fract_y
_atom_site_fract_z
Ge1 0.250 0.375 0.625
Br1 0.698 0.581 0.176
Br2 0.302 0.883 0.978
Ge2 0.500 0.500 0.500
Br3 0.478 0.676 0.094
Br4 0.383 0.406 0.081
Br5 0.594 0.978 0.676
Ge3 0.500 0.500 0.000
Br6 0.406 0.022 0.324
Br7 0.324 0.802 0.419
Br8 0.883 0.581 0.906
Br9 0.824 0.919 0.302
K1 0.750 0.375 0.125
Ge4 0.375 0.125 0.750
Br10 0.094 0.919 0.117
K2 0.625 0.375 0.750
Br11 0.176 0.094 0.978
Br12 0.698 0.117 0.022
Ge5 0.375 0.250 0.125
Br13 0.522 0.198 0.117
Br14 0.022 0.406 0.824
Ge6 0.125 0.750 0.375
Br15 0.594 0.617 0.419
Br16 0.906 0.081 0.883
Br17 0.176 0.081 0.698
Br18 0.406 0.383 0.581
Br19 0.081 0.906 0.383
Ge7 0.875 0.625 0.750
Br20 0.198 0.522 0.617
Ge8 0.500 0.000 0.500
Br21 0.883 0.302 0.478
Ge9 0.875 0.250 0.625
Br22 0.522 0.324 0.906
K3 0.375 0.750 0.625
Ge10 0.000 0.500 0.000
Br23 0.117 0.698 0.522
Br24 0.676 0.478 0.594
Ge11 0.625 0.875 0.250
K4 0.125 0.250 0.875
Br25 0.906 0.824 0.522
Br26 0.676 0.198 0.581
Ge12 0.625 0.750 0.875
Br27 0.802 0.324 0.919
Br28 0.022 0.617 0.698
Br29 0.383 0.978 0.802
K5 0.250 0.625 0.875
K6 0.875 0.750 0.125
Br30 0.617 0.594 0.919
Br31 0.324 0.522 0.406
Br32 0.919 0.824 0.802
Ge13 0.750 0.125 0.875
Br33 0.617 0.022 0.198
K7 0.375 0.625 0.250
K8 0.625 0.250 0.375
Br34 0.824 0.906 0.022
K9 0.250 0.125 0.375
Ge14 0.000 0.000 0.000
Br35 0.117 0.419 0.094
Br36 0.419 0.302 0.324
Br37 0.802 0.478 0.383
Br38 0.978 0.594 0.176
Br39 0.302 0.419 0.824
Ge15 0.250 0.875 0.125
Ge16 0.500 0.000 0.000
K10 0.875 0.125 0.250
Br40 0.581 0.883 0.406
Br41 0.094 0.176 0.478
Br42 0.581 0.698 0.676
Br43 0.419 0.117 0.594
Br44 0.978 0.383 0.302
Br45 0.478 0.802 0.883
Br46 0.919 0.094 0.617
Ge17 0.000 0.000 0.500
Ge18 0.125 0.375 0.250
Ge19 0.750 0.625 0.375
Br47 0.081 0.176 0.198
Br48 0.198 0.676 0.081
K11 0.750 0.875 0.625
K12 0.125 0.875 0.750
Ge20 0.000 0.500 0.500
```



Per-record V, Å³/atom: 23.7, 25.1, 31.0, 35.4, 60.3, 35.1, 37.1, 43.3, 35.7, 40.9, 37.5, 33.6, 43.4, 36.4, 36.3, 43.1, 36.8, 33.6, 37.1
Per-record DFT total energy, eV/atom: -4.191, -3.724, -2.693, -3.161, -3.042, -3.164, -2.981, -3.048, -3.194, -2.355, -3.137, -3.080, -3.051, -3.150, -3.110, -2.978, -3.085, -3.148, -3.116
Per-record ρ, kg/m3: 8742, 9823, 3606, 3217, 1960, 3268, 3077, 2830, 3351, 2840, 3297, 3218, 2721, 3062, 3406, 2499, 3124, 3318, 3220